This record from the Alexandria database describes a geometry-optimized K3HoV2O8 structure. The functional is PBE with a Hubbard U.

Results
total DFT energy (no corrections)	-6.796	eV per atom
crystal system	trigonal
density of states at the Fermi level	0.000	states/eV/atom

Geometry as POSCAR:
```
K3HoV2O8
1.0
5.997 0.000 0.000
-2.999 5.194 0.000
0.000 0.000 7.680
K Ho V O
3 1 2 8
Direct
0.000 0.000 0.000
0.333 0.667 0.310
0.667 0.333 0.690
0.000 0.000 0.500
0.333 0.667 0.755
0.667 0.333 0.245
0.174 0.348 0.675
0.174 0.826 0.675
0.333 0.667 0.974
0.348 0.174 0.325
0.652 0.826 0.675
0.667 0.333 0.026
0.826 0.174 0.325
0.826 0.652 0.325
```